P | {"formula": "TePbW", "functional": "meta-GGA SCAN", "state": "single point on PBEsol structure", "vol_a3_per_atom": 26.39, "spacegroup": "F-43m", "cell": [[-3.310, 3.390, -0.880], [-4.614, -0.779, 1.155], [-2.010, 2.413, 3.656]], "species": ["Pb", "Te", "W"], "frac_coords": [[0.750, 0.750, 0.750], [0.000, 0.000, 0.000], [0.500, 0.500, 0.500]]}

=====

Q | {"formula": "TePbW", "functional": "meta-GGA SCAN", "state": "single point on PBEsol structure", "vol_a3_per_atom": 24.95, "spacegroup": "P3m1", "cell": [[-3.186, -0.467, -0.683], [1.468, -1.812, 2.323], [-1.974, 5.440, 5.489]], "species": ["Pb", "Te", "W"], "frac_coords": [[0.000, 0.000, 0.056], [0.333, 0.667, 0.590], [0.667, 0.333, 0.355]]}

=====

Top of the stability list: Q, leading by 1.407 eV/atom.

=====

P | {"formula": "ZnTe2Pb", "functional": "meta-GGA SCAN", "state": "single point on PBEsol structure", "vol_a3_per_atom": 27.16, "spacegroup": "Immm", "cell": [[-3.662, -0.478, 0.803], [-0.878, -1.537, -4.914], [3.268, -4.207, 3.507]], "species": ["Pb", "Te", "Te", "Zn"], "frac_coords": [[0.500, 0.000, 0.000], [0.678, 0.678, 0.355], [0.322, 0.322, 0.645], [0.000, 0.500, 0.000]]}

=====

Q | {"formula": "ZnTe2Pb", "functional": "meta-GGA SCAN", "state": "single point on PBEsol structure", "vol_a3_per_atom": 27.51, "spacegroup": "R-3m", "cell": [[4.229, 0.000, 0.000], [2.114, 3.662, 0.000], [2.114, 1.221, 7.107]], "species": ["Pb", "Te", "Te", "Zn"], "frac_coords": [[0.000, 0.000, 0.000], [0.237, 0.237, 0.288], [0.763, 0.763, 0.712], [0.500, 0.500, 0.500]]}

=====

Top of the stability list: Q, leading by 0.226 eV/atom.

=====

P | {"formula": "Tl2Pb", "functional": "meta-GGA SCAN", "state": "single point on PBEsol structure", "vol_a3_per_atom": 30.37, "spacegroup": "Fd-3m", "cell": [[-9.385, -3.300, 1.756], [-4.027, -7.147, -5.895], [-1.484, -9.306, 3.640]], "species": ["Pb", "Pb", "Pb", "Pb", "Pb", "Pb", "Pb", "Pb", "Tl", "Tl", "Tl", "Tl", "Tl", "Tl", "Tl", "Tl", "Tl", "Tl", "Tl", "Tl", "Tl", "Tl", "Tl", "Tl"], "frac_coords": [[0.340, 0.340, 0.340], [0.979, 0.340, 0.340], [0.340, 0.979, 0.340], [0.340, 0.340, 0.979], [0.910, 0.910, 0.910], [0.271, 0.910, 0.910], [0.910, 0.271, 0.910], [0.910, 0.910, 0.271], [0.125, 0.125, 0.625], [0.125, 0.625, 0.125], [0.625, 0.125, 0.125], [0.125, 0.125, 0.125], [0.938, 0.562, 0.562], [0.562, 0.938, 0.562], [0.562, 0.562, 0.938], [0.938, 0.938, 0.562], [0.938, 0.562, 0.938], [0.562, 0.938, 0.938], [0.312, 0.688, 0.688], [0.688, 0.312, 0.688], [0.688, 0.688, 0.312], [0.312, 0.312, 0.688], [0.312, 0.688, 0.312], [0.688, 0.312, 0.312]]}

=====

Q | {"formula": "Tl2Pb", "functional": "meta-GGA SCAN", "state": "single point on PBEsol structure", "vol_a3_per_atom": 28.70, "spacegroup": "P-3m1", "cell": [[-3.117, 1.067, 0.661], [-1.567, -1.482, -4.994], [-0.338, -3.538, 4.118]], "species": ["Pb", "Tl", "Tl"], "frac_coords": [[0.000, 0.000, 0.000], [0.345, 0.333, 0.667], [0.655, 0.667, 0.333]]}

=====

R | {"formula": "Tl2Pb", "functional": "meta-GGA SCAN", "state": "single point on PBEsol structure", "vol_a3_per_atom": 28.50, "spacegroup": "Immm", "cell": [[3.409, 0.000, 0.000], [0.000, 4.903, 0.000], [-1.704, -2.451, 5.116]], "species": ["Pb", "Tl", "Tl"], "frac_coords": [[0.000, 0.000, 0.000], [0.334, 0.334, 0.667], [0.666, 0.666, 0.333]]}

=====

S | {"formula": "Tl2Pb", "functional": "meta-GGA SCAN", "state": "single point on PBEsol structure", "vol_a3_per_atom": 28.75, "spacegroup": "P6_3/mmc", "cell": [[-1.585, -3.351, 4.101], [3.807, -1.689, -3.635], [4.706, 2.426, 3.801]], "species": ["Pb", "Pb", "Tl", "Tl", "Tl", "Tl"], "frac_coords": [[0.667, 0.333, 0.750], [0.333, 0.667, 0.250], [0.000, 0.000, 0.000], [0.000, 0.000, 0.500], [0.667, 0.333, 0.250], [0.333, 0.667, 0.750]]}

=====

Top of the stability list: R, leading by 0.013 eV/atom.

=====

P | {"formula": "Tl2Pb", "functional": "meta-GGA SCAN", "state": "single point on PBEsol structure", "vol_a3_per_atom": 28.62, "spacegroup": "I4/mmm", "cell": [[3.426, 0.000, 0.000], [0.000, 3.426, 0.000], [-1.713, -1.713, 7.315]], "species": ["Pb", "Tl", "Tl"], "frac_coords": [[0.500, 0.500, 0.000], [0.167, 0.167, 0.334], [0.833, 0.833, 0.666]]}

=====

Q | {"formula": "Tl2Pb", "functional": "meta-GGA SCAN", "state": "single point on PBEsol structure", "vol_a3_per_atom": 28.54, "spacegroup": "Cmcm", "cell": [[-2.725, -3.906, 1.162], [0.583, -1.734, -4.458], [6.252, -4.387, -0.080]], "species": ["Pb", "Pb", "Tl", "Tl", "Tl", "Tl"], "frac_coords": [[0.250, 0.082, 0.836], [0.750, 0.918, 0.164], [0.250, 0.416, 0.168], [0.750, 0.584, 0.832], [0.250, 0.749, 0.502], [0.750, 0.251, 0.498]]}

=====

Top of the stability list: P, leading by 0.008 eV/atom.

=====

P | {"formula": "TlPb5", "functional": "meta-GGA SCAN", "state": "single point on PBEsol structure", "vol_a3_per_atom": 29.65, "spacegroup": "Amm2", "cell": [[3.449, 0.000, 0.000], [0.000, 5.726, 0.000], [-1.725, 0.000, 9.009]], "species": ["Pb", "Pb", "Pb", "Pb", "Pb", "Tl"], "frac_coords": [[0.001, 0.000, 0.001], [0.334, 0.000, 0.668], [0.668, 0.000, 0.336], [0.443, 0.500, 0.885], [0.777, 0.500, 0.554], [0.111, 0.500, 0.223]]}

=====

Q | {"formula": "TlPb5", "functional": "meta-GGA SCAN", "state": "single point on PBEsol structure", "vol_a3_per_atom": 29.44, "spacegroup": "P4/mmm", "cell": [[3.411, 0.000, 0.000], [0.000, 3.411, 0.000], [0.000, 0.000, 15.181]], "species": ["Pb", "Pb", "Pb", "Pb", "Pb", "Tl"], "frac_coords": [[0.000, 0.000, 0.835], [0.000, 0.000, 0.165], [0.500, 0.500, 0.668], [0.500, 0.500, 0.332], [0.000, 0.000, 0.500], [0.500, 0.500, 0.000]]}

=====

Top of the stability list: Q, leading by 0.016 eV/atom.

=====

P | {"formula": "TlPbW2", "functional": "meta-GGA SCAN", "state": "single point on PBEsol structure", "vol_a3_per_atom": 20.40, "spacegroup": "Cm", "cell": [[-1.705, 2.126, -1.781], [-4.392, -2.388, 1.355], [2.090, 2.731, 4.236]], "species": ["Pb", "Tl", "W", "W"], "frac_coords": [[0.517, 0.552, 0.033], [0.732, 0.194, 0.463], [0.965, 0.015, 0.929], [0.287, 0.739, 0.574]]}

=====

Q | {"formula": "TlPbW2", "functional": "meta-GGA SCAN", "state": "single point on PBEsol structure", "vol_a3_per_atom": 20.92, "spacegroup": "Pmmm", "cell": [[3.009, 0.000, 0.000], [0.000, 4.377, 0.000], [0.000, 0.000, 6.352]], "species": ["Pb", "Tl", "W", "W"], "frac_coords": [[0.500, 0.500, 0.000], [0.500, 0.500, 0.500], [0.000, 0.000, 0.690], [0.000, 0.000, 0.310]]}

=====

Top of the stability list: P, leading by 0.371 eV/atom.

=====

P | {"formula": "TlPb2W", "functional": "meta-GGA SCAN", "state": "single point on PBEsol structure", "vol_a3_per_atom": 23.47, "spacegroup": "P4/mmm", "cell": [[3.119, 0.000, 0.000], [0.000, 5.487, 0.000], [0.000, 0.000, 5.487]], "species": ["Pb", "Pb", "Tl", "W"], "frac_coords": [[0.000, 0.000, 0.500], [0.000, 0.500, 0.000], [0.500, 0.500, 0.500], [0.500, 0.000, 0.000]]}

=====

Q | {"formula": "TlPb2W", "functional": "meta-GGA SCAN", "state": "single point on PBEsol structure", "vol_a3_per_atom": 24.10, "spacegroup": "Fm-3m", "cell": [[5.147, 0.000, 0.000], [2.574, 4.457, 0.000], [2.574, 1.486, 4.203]], "species": ["Pb", "Pb", "Tl", "W"], "frac_coords": [[0.250, 0.250, 0.250], [0.750, 0.750, 0.750], [0.000, 0.000, 0.000], [0.500, 0.500, 0.500]]}

=====

Top of the stability list: P, leading by 0.038 eV/atom.

=====

P | {"formula": "TlPb2W", "functional": "meta-GGA SCAN", "state": "single point on PBEsol structure", "vol_a3_per_atom": 24.49, "spacegroup": "P4mm", "cell": [[3.041, 0.000, 0.000], [0.000, 3.041, 0.000], [0.000, 0.000, 10.590]], "species": ["Pb", "Pb", "Tl", "W"], "frac_coords": [[0.000, 0.000, 0.953], [0.500, 0.500, 0.263], [0.000, 0.000, 0.538], [0.500, 0.500, 0.746]]}

=====

Q | {"formula": "TlPb2W", "functional": "meta-GGA SCAN", "state": "single point on PBEsol structure", "vol_a3_per_atom": 22.97, "spacegroup": "P4/mmm", "cell": [[3.524, 0.000, 0.000], [0.000, 5.106, 0.000], [0.000, 0.000, 5.106]], "species": ["Pb", "Pb", "Tl", "W"], "frac_coords": [[0.000, 0.000, 0.500], [0.000, 0.500, 0.000], [0.500, 0.500, 0.500], [0.500, 0.000, 0.000]]}

=====

Top of the stability list: P, leading by 0.342 eV/atom.

=====

P | {"formula": "ZrTlPb2", "functional": "meta-GGA SCAN", "state": "single point on PBEsol structure", "vol_a3_per_atom": 24.97, "spacegroup": "P4/mmm", "cell": [[-2.180, -1.817, -3.305], [-2.123, -3.013, 3.056], [-3.561, 3.140, 0.622]], "species": ["Pb", "Pb", "Tl", "Zr"], "frac_coords": [[0.000, 0.000, 0.500], [0.000, 0.500, 0.000], [0.500, 0.500, 0.500], [0.500, 0.000, 0.000]]}

=====

Q | {"formula": "ZrTlPb2", "functional": "meta-GGA SCAN", "state": "single point on PBEsol structure", "vol_a3_per_atom": 25.17, "spacegroup": "Pmm2", "cell": [[3.520, 0.000, 0.000], [0.000, 4.430, 0.000], [0.000, 0.000, 6.456]], "species": ["Pb", "Pb", "Tl", "Zr"], "frac_coords": [[0.000, 0.000, 0.979], [0.500, 0.500, 0.260], [0.000, 0.000, 0.509], [0.500, 0.500, 0.752]]}

=====

Top of the stability list: Q, leading by 0.038 eV/atom.

=====

P | {"formula": "Zr2TlPb", "functional": "meta-GGA SCAN", "state": "single point on PBEsol structure", "vol_a3_per_atom": 22.25, "spacegroup": "I4/mmm", "cell": [[-0.405, 3.871, -2.347], [-3.258, 1.387, 2.849], [4.811, -0.792, 2.264]], "species": ["Pb", "Tl", "Zr", "Zr"], "frac_coords": [[0.500, 0.500, 0.000], [0.000, 0.000, 0.000], [0.750, 0.250, 0.500], [0.250, 0.750, 0.500]]}

=====

Q | {"formula": "Zr2TlPb", "functional": "meta-GGA SCAN", "state": "single point on PBEsol structure", "vol_a3_per_atom": 22.82, "spacegroup": "Cm", "cell": [[-0.915, -3.170, 0.173], [2.660, -1.007, -4.362], [3.550, 0.959, 4.805]], "species": ["Pb", "Tl", "Zr", "Zr"], "frac_coords": [[0.496, 0.428, 0.992], [0.255, 0.825, 0.511], [0.002, 0.936, 0.005], [0.746, 0.311, 0.492]]}

=====

R | {"formula": "Zr2TlPb", "functional": "meta-GGA SCAN", "state": "single point on PBEsol structure", "vol_a3_per_atom": 22.45, "spacegroup": "Fm-3m", "cell": [[5.027, 0.000, 0.000], [2.513, 4.353, 0.000], [2.513, 1.451, 4.104]], "species": ["Pb", "Tl", "Zr", "Zr"], "frac_coords": [[0.500, 0.500, 0.500], [0.000, 0.000, 0.000], [0.250, 0.250, 0.250], [0.750, 0.750, 0.750]]}

=====

S | {"formula": "Zr2TlPb", "functional": "meta-GGA SCAN", "state": "single point on PBEsol structure", "vol_a3_per_atom": 24.42, "spacegroup": "P4mm", "cell": [[3.182, 0.000, 0.000], [0.000, 3.182, 0.000], [0.000, 0.000, 9.648]], "species": ["Pb", "Tl", "Zr", "Zr"], "frac_coords": [[0.000, 0.000, 0.485], [0.500, 0.500, 0.769], [0.000, 0.000, 0.011], [0.500, 0.500, 0.234]]}

=====

Top of the stability list: P, leading by 0.098 eV/atom.

=====

P | {"formula": "ZrPb4", "functional": "meta-GGA SCAN", "state": "single point on PBEsol structure", "vol_a3_per_atom": 29.32, "spacegroup": "I4/mmm", "cell": [[4.209, 0.000, 0.000], [0.000, 4.209, 0.000], [-2.105, -2.105, 8.274]], "species": ["Pb", "Pb", "Pb", "Pb", "Zr"], "frac_coords": [[0.750, 0.250, 0.500], [0.250, 0.750, 0.500], [0.589, 0.589, 0.178], [0.411, 0.411, 0.822], [0.000, 0.000, 0.000]]}

=====

Q | {"formula": "ZrPb4", "functional": "meta-GGA SCAN", "state": "single point on PBEsol structure", "vol_a3_per_atom": 31.28, "spacegroup": "Im-3m", "cell": [[5.879, 0.000, 0.000], [-1.960, 5.542, 0.000], [-1.960, -2.771, 4.800]], "species": ["Pb", "Pb", "Pb", "Pb", "Zr"], "frac_coords": [[0.000, 0.000, 0.500], [0.000, 0.500, 0.000], [0.500, 0.000, 0.000], [0.500, 0.500, 0.500], [0.000, 0.000, 0.000]]}

=====

Top of the stability list: Q, leading by 0.385 eV/atom.

=====

P | {"formula": "TlPd2Rh2", "functional": "meta-GGA SCAN", "state": "single point on PBEsol structure", "vol_a3_per_atom": 16.77, "spacegroup": "I4/mmm", "cell": [[-1.546, 2.876, -1.651], [-1.446, -2.224, -2.520], [-3.613, -1.031, 5.639]], "species": ["Tl", "Rh", "Rh", "Pd", "Pd"], "frac_coords": [[0.000, 0.000, 0.000], [0.402, 0.402, 0.804], [0.598, 0.598, 0.196], [0.250, 0.750, 0.500], [0.750, 0.250, 0.500]]}

=====

Q | {"formula": "TlPd2Rh2", "functional": "meta-GGA SCAN", "state": "single point on PBEsol structure", "vol_a3_per_atom": 16.85, "spacegroup": "I4/mmm", "cell": [[-3.439, -0.601, 0.456], [0.511, -3.422, -0.656], [2.536, 0.903, 6.718]], "species": ["Tl", "Rh", "Rh", "Pd", "Pd"], "frac_coords": [[0.000, 0.000, 0.000], [0.250, 0.750, 0.500], [0.750, 0.250, 0.500], [0.400, 0.400, 0.799], [0.600, 0.600, 0.201]]}

=====

Top of the stability list: Q, leading by 0.056 eV/atom.